# 1
HoCd3In: optimized geometry, PBE-GGA.

```
10
Lattice="2.432 -15.800 0.000 2.432 15.800 0.000 0.000 0.000 3.323" Properties=species:S:1:pos:R:3 pbc="T T T"
Ho 2.432 10.179 0.000
Ho 2.432 -10.179 0.000
Cd 2.432 13.316 1.661
Cd 2.432 7.215 1.661
Cd 2.432 1.439 0.000
Cd 2.432 -1.439 0.000
Cd 2.432 -7.215 1.661
Cd 2.432 -13.316 1.661
In 2.432 4.262 1.661
In 2.432 -4.262 1.661
```

Summary:
Its size of the total moment is 0.00 μB/f.u. For the formation energy, the calculation gives -0.14 eV per atom. The density of states at the Fermi level is 5.10 states/eV/cell. Its density is 8.0 g/cm³. As for the energy: -21.55 eV for the cell shown.

# 2
Ho2CdIn8: optimized geometry, PBE-GGA.

```
11
Lattice="4.775 0.000 0.000 0.000 4.775 0.000 0.000 0.000 12.456" Properties=species:S:1:pos:R:3 pbc="T T T"
Ho 0.000 0.000 2.236
Ho 0.000 0.000 10.220
Cd 0.000 0.000 6.228
In 0.000 2.387 0.000
In 0.000 2.387 4.466
In 0.000 2.387 7.990
In 2.387 0.000 0.000
In 2.387 0.000 4.466
In 2.387 0.000 7.990
In 2.387 2.387 2.245
In 2.387 2.387 10.211
```

Summary:
Its size of the total moment is 0.00 μB/f.u. For the formation energy, the calculation gives -0.23 eV per atom. The density of states at the Fermi level is 3.15 states/eV/cell. Its density is 8.0 g/cm³. As for the energy: -34.46 eV for the cell shown.

# 3
HoCd2In: optimized geometry, PBE-GGA.

```
4
Lattice="4.518 0.000 0.000 0.000 4.518 0.000 0.000 0.000 4.705" Properties=species:S:1:pos:R:3 pbc="T T T"
Ho 0.000 0.000 0.000
Cd 0.000 2.259 2.353
Cd 2.259 0.000 2.353
In 2.259 2.259 0.000
```

Summary:
Its size of the total moment is 0.00 μB/f.u. For the formation energy, the calculation gives -0.31 eV per atom. The density of states at the Fermi level is 3.75 states/eV/cell. Its density is 8.7 g/cm³. As for the energy: -10.38 eV for the cell shown.

# 4
Ho5CdIn: optimized geometry, PBE-GGA.

```
14
Lattice="4.201 -4.393 0.000 4.201 4.393 0.000 -2.883 0.000 11.031" Properties=species:S:1:pos:R:3 pbc="T T T"
Ho 2.017 2.487 1.705
Ho 2.039 3.381 8.273
Ho 1.879 1.266 5.131
Ho 4.944 2.487 3.811
Ho 5.082 1.266 0.385
Ho 0.437 -1.266 10.646
Ho 0.576 -2.487 7.220
Ho 3.641 -1.266 5.900
Ho 3.481 -3.381 2.758
Ho 3.502 -2.487 9.326
Cd 0.000 0.000 0.000
Cd -1.441 0.000 5.516
In 2.039 0.249 8.273
In 3.481 -0.249 2.758
```

Summary:
Its size of the total moment is 0.00 μB/f.u. For the formation energy, the calculation gives -0.07 eV per atom. The density of states at the Fermi level is 15.48 states/eV/cell. Its density is 8.6 g/cm³. As for the energy: -54.00 eV for the cell shown.

# 5
Ho5CdIn4: optimized geometry, PBE-GGA.

```
10
Lattice="3.730 0.000 0.000 0.000 3.730 0.000 0.000 0.000 18.806" Properties=species:S:1:pos:R:3 pbc="T T T"
Ho 0.000 0.000 0.000
Ho 0.000 0.000 3.782
Ho 0.000 0.000 7.563
Ho 0.000 0.000 11.243
Ho 0.000 0.000 15.024
Cd 1.865 1.865 9.403
In 1.865 1.865 1.886
In 1.865 1.865 5.691
In 1.865 1.865 13.115
In 1.865 1.865 16.921
```

Summary:
Its size of the total moment is 0.00 μB/f.u. For the formation energy, the calculation gives -0.43 eV per atom. The density of states at the Fermi level is 7.47 states/eV/cell. Its density is 8.9 g/cm³. As for the energy: -39.05 eV for the cell shown.

# 6
Ho4CdIn2: optimized geometry, PBE-GGA.

```
14
Lattice="7.356 0.000 0.000 0.000 6.578 0.000 -3.657 0.000 8.278" Properties=species:S:1:pos:R:3 pbc="T T T"
Ho 0.651 1.644 0.594
Ho -1.660 0.051 6.007
Ho -1.660 3.238 6.007
Ho 1.241 4.933 2.330
Ho 2.458 1.644 5.949
Ho 5.359 3.340 2.271
Ho 5.359 6.527 2.271
Ho 3.048 4.933 7.684
Cd 0.800 4.933 5.356
Cd 2.899 1.644 2.923
In 0.153 1.644 3.783
In 3.442 4.933 0.055
In 0.257 1.644 8.224
In 3.546 4.933 4.496
```

Summary:
Its size of the total moment is 0.00 μB/f.u. For the formation energy, the calculation gives -0.19 eV per atom. The density of states at the Fermi level is 13.96 states/eV/cell. Its density is 8.3 g/cm³. As for the energy: -52.01 eV for the cell shown.

# 7
Ho8Cd2In: optimized geometry, PBE-GGA.

```
11
Lattice="4.389 -7.350 0.000 4.389 7.350 0.000 -2.072 0.000 5.024" Properties=species:S:1:pos:R:3 pbc="T T T"
Ho 0.563 1.680 3.073
Ho 4.389 4.123 0.000
Ho 0.563 -1.680 3.073
Ho 3.075 0.000 0.990
Ho 3.631 0.000 4.034
Ho 6.143 1.680 1.951
Ho 4.389 -4.123 0.000
Ho 6.143 -1.680 1.951
Cd 3.353 2.850 2.512
Cd 3.353 -2.850 2.512
In 0.000 0.000 0.000
```

Summary:
Its size of the total moment is 0.00 μB/f.u. For the formation energy, the calculation gives -0.06 eV per atom. The density of states at the Fermi level is 14.18 states/eV/cell. Its density is 8.5 g/cm³. As for the energy: -41.81 eV for the cell shown.

# 8
Ho6CdIn3: optimized geometry, PBE-GGA.

```
20
Lattice="9.272 0.000 0.000 0.000 5.320 0.000 -3.622 0.000 11.024" Properties=species:S:1:pos:R:3 pbc="T T T"
Ho -1.128 1.330 4.562
Ho 0.864 3.990 1.949
Ho 2.339 1.330 0.034
Ho 0.262 3.990 8.854
Ho 2.175 1.330 3.675
Ho 1.510 1.330 6.855
Ho 4.140 3.990 4.168
Ho 3.475 3.990 7.348
Ho 5.388 1.330 2.170
Ho 3.311 3.990 10.989
Ho 4.786 1.330 9.075
Ho 6.778 3.990 6.462
Cd 3.881 3.990 1.085
Cd 1.769 1.330 9.939
In -2.900 3.990 9.722
In -1.433 1.330 7.890
In 0.847 3.990 5.217
In 4.803 1.330 5.807
In 7.083 3.990 3.134
In 8.550 1.330 1.302
```

Summary:
Its size of the total moment is 0.00 μB/f.u. For the formation energy, the calculation gives -0.33 eV per atom. The density of states at the Fermi level is 21.53 states/eV/cell. Its density is 8.8 g/cm³. As for the energy: -79.74 eV for the cell shown.

# 9
Ho12Cd2In5: optimized geometry, PBE-GGA.

```
19
Lattice="8.580 -3.582 0.000 8.580 3.582 0.000 -1.372 0.000 9.025" Properties=species:S:1:pos:R:3 pbc="T T T"
Ho -0.105 0.000 1.681
Ho 4.618 1.811 8.956
Ho 5.030 1.720 5.263
Ho 11.170 1.811 0.069
Ho 10.758 1.720 3.762
Ho 7.434 0.000 2.752
Ho 8.354 0.000 6.273
Ho 5.030 -1.720 5.263
Ho 4.618 -1.811 8.956
Ho 10.758 -1.720 3.762
Ho 11.170 -1.811 0.069
Ho 15.893 0.000 7.344
Cd 7.894 2.276 4.512
Cd 7.894 -2.276 4.512
In 2.365 0.000 6.611
In 4.311 0.000 2.280
In 8.580 0.000 0.000
In 11.477 0.000 6.745
In 13.423 0.000 2.414
```

Summary:
Its size of the total moment is 0.00 μB/f.u. For the formation energy, the calculation gives -0.14 eV per atom. The density of states at the Fermi level is 19.49 states/eV/cell. Its density is 8.3 g/cm³. As for the energy: -73.16 eV for the cell shown.

# 10
La2HoCd2In2: optimized geometry, PBE-GGA.

```
7
Lattice="2.486 1.435 9.275 -2.486 1.435 9.275 0.000 -2.871 9.275" Properties=species:S:1:pos:R:3 pbc="T T T"
La 0.000 0.000 3.583
La 0.000 0.000 24.243
Ho 0.000 0.000 0.000
Cd 0.000 0.000 10.874
Cd 0.000 0.000 16.951
In 0.000 0.000 7.395
In 0.000 0.000 20.431
```

Summary:
Its size of the total moment is 0.00 μB/f.u. For the formation energy, the calculation gives -0.30 eV per atom. The density of states at the Fermi level is 4.95 states/eV/cell. Its density is 7.5 g/cm³. As for the energy: -23.81 eV for the cell shown.

# 11
La5HoCd2In: optimized geometry, PBE-GGA.

```
18
Lattice="-3.942 3.942 9.760 3.942 -3.942 9.760 3.942 3.942 -9.760" Properties=species:S:1:pos:R:3 pbc="T T T"
La 0.000 0.000 0.000
La 5.627 1.685 -2.685
La 1.685 2.257 -2.685
La 5.627 1.685 2.685
La 1.685 2.257 2.685
La 0.000 0.000 9.760
La 2.257 1.685 7.075
La -1.685 2.257 7.075
La 2.257 1.685 12.446
La -1.685 2.257 12.446
Ho 0.000 0.000 4.880
Ho 0.000 0.000 14.641
Cd 3.000 0.942 0.000
Cd 3.000 -0.942 9.760
Cd 0.942 4.884 0.000
Cd 0.942 3.000 9.760
In 3.942 0.000 4.880
In 0.000 3.942 4.880
```

Summary:
Its size of the total moment is 0.00 μB/f.u. For the formation energy, the calculation gives -0.12 eV per atom. The density of states at the Fermi level is 21.73 states/eV/cell. Its density is 6.6 g/cm³. As for the energy: -69.64 eV for the cell shown.

# 12
Li2HoCd2In2: optimized geometry, PBE-GGA.

```
7
Lattice="2.430 1.403 7.552 -2.430 1.403 7.552 0.000 -2.806 7.552" Properties=species:S:1:pos:R:3 pbc="T T T"
Li 0.000 0.000 3.210
Li 0.000 0.000 19.447
Ho 0.000 0.000 0.000
Cd 0.000 0.000 9.759
Cd 0.000 0.000 12.898
In 0.000 0.000 6.116
In 0.000 0.000 16.541
```

Summary:
Its size of the total moment is 0.00 μB/f.u. For the formation energy, the calculation gives -0.28 eV per atom. The density of states at the Fermi level is 2.51 states/eV/cell. Its density is 6.8 g/cm³. As for the energy: -17.68 eV for the cell shown.

# 13
HoMgCdIn: optimized geometry, PBE-GGA.

```
4
Lattice="0.000 3.629 3.629 3.629 0.000 3.629 3.629 3.629 0.000" Properties=species:S:1:pos:R:3 pbc="T T T"
Ho 0.000 0.000 0.000
Mg 3.629 3.629 3.629
Cd 5.443 5.443 5.443
In 1.814 1.814 1.814
```

Summary:
Its size of the total moment is 0.00 μB/f.u. For the formation energy, the calculation gives -0.31 eV per atom. The density of states at the Fermi level is 1.12 states/eV/cell. Its density is 7.2 g/cm³. As for the energy: -11.06 eV for the cell shown.

# 14
HoMgCdIn: optimized geometry, PBE-GGA.

```
4
Lattice="4.207 0.000 0.000 0.000 4.739 0.000 0.000 0.000 4.824" Properties=species:S:1:pos:R:3 pbc="T T T"
Ho 0.000 0.000 0.000
Mg 0.000 2.369 2.412
Cd 2.104 0.000 2.412
In 2.104 2.369 0.000
```

Summary:
Its size of the total moment is 0.00 μB/f.u. For the formation energy, the calculation gives -0.33 eV per atom. The density of states at the Fermi level is 1.41 states/eV/cell. Its density is 7.2 g/cm³. As for the energy: -11.13 eV for the cell shown.

# 15
HoMg2Cd2In2: optimized geometry, PBE-GGA.

```
7
Lattice="2.419 1.397 8.522 -2.419 1.397 8.522 0.000 -2.793 8.522" Properties=species:S:1:pos:R:3 pbc="T T T"
Ho 0.000 0.000 0.000
Mg 0.000 0.000 3.404
Mg 0.000 0.000 22.163
Cd 0.000 0.000 6.356
Cd 0.000 0.000 19.212
In 0.000 0.000 10.006
In 0.000 0.000 15.561
```

Summary:
Its size of the total moment is 0.00 μB/f.u. For the formation energy, the calculation gives -0.18 eV per atom. The density of states at the Fermi level is 2.38 states/eV/cell. Its density is 6.4 g/cm³. As for the energy: -16.36 eV for the cell shown.

# 16
HoMnCdIn: optimized geometry, PBE-GGA.

```
4
Lattice="0.000 3.520 3.520 3.520 0.000 3.520 3.520 3.520 0.000" Properties=species:S:1:pos:R:3 pbc="T T T"
Ho 0.000 0.000 0.000
Mn 3.520 3.520 3.520
Cd 5.280 5.280 5.280
In 1.760 1.760 1.760
```

Summary:
Its size of the total moment is 3.53 μB/f.u. For the formation energy, the calculation gives -0.05 eV per atom. The density of states at the Fermi level is 3.65 states/eV/cell. Its density is 8.5 g/cm³. As for the energy: -17.61 eV for the cell shown.

# 17
NdHo2Cd2In2: optimized geometry, PBE-GGA.

```
7
Lattice="2.482 1.433 8.995 -2.482 1.433 8.995 0.000 -2.866 8.995" Properties=species:S:1:pos:R:3 pbc="T T T"
Nd 0.000 0.000 0.000
Ho 0.000 0.000 3.489
Ho 0.000 0.000 23.495
Cd 0.000 0.000 10.922
Cd 0.000 0.000 16.062
In 0.000 0.000 6.952
In 0.000 0.000 20.031
```

Summary:
Its size of the total moment is 0.00 μB/f.u. For the formation energy, the calculation gives -0.27 eV per atom. The density of states at the Fermi level is 4.04 states/eV/cell. Its density is 8.0 g/cm³. As for the energy: -23.10 eV for the cell shown.

# 18
Nd2HoCd2In2: optimized geometry, PBE-GGA.

```
7
Lattice="2.479 1.431 9.189 -2.479 1.431 9.189 0.000 -2.863 9.189" Properties=species:S:1:pos:R:3 pbc="T T T"
Nd 0.000 0.000 3.511
Nd 0.000 0.000 24.055
Ho 0.000 0.000 0.000
Cd 0.000 0.000 10.802
Cd 0.000 0.000 16.764
In 0.000 0.000 7.262
In 0.000 0.000 20.304
```

Summary:
Its size of the total moment is 0.00 μB/f.u. For the formation energy, the calculation gives -0.27 eV per atom. The density of states at the Fermi level is 4.57 states/eV/cell. Its density is 7.7 g/cm³. As for the energy: -23.31 eV for the cell shown.

# 19
Ho4CdInO: optimized geometry, PBE-GGA.

```
14
Lattice="3.287 -7.987 0.000 3.287 7.987 0.000 0.000 0.000 6.576" Properties=species:S:1:pos:R:3 pbc="T T T"
Ho 1.644 3.994 0.000
Ho 1.644 3.994 3.288
Ho 3.287 6.755 4.932
Ho 3.287 1.290 4.932
Ho 1.644 -3.994 0.000
Ho 1.644 -3.994 3.288
Ho 3.287 -1.290 1.644
Ho 3.287 -6.755 1.644
Cd 3.287 6.141 1.644
Cd 3.287 -6.141 4.932
In 3.287 1.809 1.644
In 3.287 -1.809 4.932
O 3.287 3.982 4.932
O 3.287 -3.982 1.644
```

Summary:
Its size of the total moment is 0.00 μB/f.u. The density of states at the Fermi level is 8.64 states/eV/cell. Its density is 8.7 g/cm³. As for the energy: -67.95 eV for the cell shown.

# 20
HoCdIn4O8: optimized geometry, PBE-GGA.

```
14
Lattice="3.315 1.914 5.490 -3.315 1.914 5.490 0.000 -3.828 5.490" Properties=species:S:1:pos:R:3 pbc="T T T"
Ho 0.000 0.000 0.000
Cd 0.000 0.000 10.310
In 0.000 -1.925 2.767
In -1.667 0.962 2.767
In 0.000 0.000 6.193
In 1.667 0.962 2.767
O -1.820 -1.051 9.533
O 0.000 0.000 3.934
O 0.000 -2.050 6.961
O -1.775 1.025 6.961
O 1.820 -1.051 9.533
O 0.000 2.102 9.533
O 0.000 0.000 12.602
O 1.775 1.025 6.961
```

Summary:
Its size of the total moment is 0.00 μB/f.u. The density of states at the Fermi level is 1.38 states/eV/cell. Its density is 6.9 g/cm³. As for the energy: -81.02 eV for the cell shown.

# 21
HoPaCdIn: optimized geometry, PBE-GGA.

```
4
Lattice="0.000 3.746 3.746 3.746 0.000 3.746 3.746 3.746 0.000" Properties=species:S:1:pos:R:3 pbc="T T T"
Ho 0.000 0.000 0.000
Pa 3.746 3.746 3.746
Cd 1.873 1.873 1.873
In 5.619 5.619 5.619
```

Summary:
Its size of the total moment is 1.02 μB/f.u. For the formation energy, the calculation gives -0.01 eV per atom. The density of states at the Fermi level is 6.82 states/eV/cell. Its density is 9.8 g/cm³. As for the energy: -17.75 eV for the cell shown.

# 22
HoCdInPb: optimized geometry, PBE-GGA.

```
4
Lattice="0.000 3.776 3.776 3.776 0.000 3.776 3.776 3.776 0.000" Properties=species:S:1:pos:R:3 pbc="T T T"
Ho 0.000 0.000 0.000
Cd 3.776 3.776 3.776
In 5.664 5.664 5.664
Pb 1.888 1.888 1.888
```

Summary:
Its size of the total moment is 0.00 μB/f.u. For the formation energy, the calculation gives -0.12 eV per atom. The density of states at the Fermi level is 2.57 states/eV/cell. Its density is 9.2 g/cm³. As for the energy: -12.40 eV for the cell shown.

# 23
HoCdInPb: optimized geometry, PBE-GGA.

```
4
Lattice="4.550 0.000 0.000 0.000 4.664 0.000 0.000 0.000 4.823" Properties=species:S:1:pos:R:3 pbc="T T T"
Ho 0.000 0.000 0.000
Cd 0.000 2.332 2.411
In 2.275 0.000 2.411
Pb 2.275 2.332 0.000
```

Summary:
Its size of the total moment is 0.00 μB/f.u. For the formation energy, the calculation gives -0.33 eV per atom. The density of states at the Fermi level is 1.25 states/eV/cell. Its density is 9.7 g/cm³. As for the energy: -13.27 eV for the cell shown.